[1]
Computed, not measured: a relaxed structure of Na2Zr2AlGaNi2 at the PBE level of DFT.

The structure in extended XYZ format:
```
8
Lattice="4.507 0.000 0.000 0.000 4.507 0.000 0.000 0.000 6.377" Properties=species:S:1:pos:R:3 pbc="T T T"
Na 0.000 2.253 1.577
Na 2.253 0.000 4.800
Zr 0.000 0.000 0.000
Zr 2.253 2.253 3.189
Al 0.000 0.000 3.189
Ga 2.253 2.253 0.000
Ni 0.000 2.253 4.762
Ni 2.253 0.000 1.615
```

space-group type	No. 115
density	5.67	Mg/m³
E	-4.76	eV per atom

---

[2]
Computed, not measured: a relaxed structure of Na4AlGaPd2 at the PBE level of DFT.

The structure in extended XYZ format:
```
8
Lattice="4.743 0.000 0.000 0.000 4.743 0.000 0.000 0.000 6.704" Properties=species:S:1:pos:R:3 pbc="T T T"
Na 0.000 0.000 0.000
Na 0.000 2.372 1.645
Na 2.372 0.000 5.060
Na 2.372 2.372 3.352
Al 0.000 0.000 3.352
Ga 2.372 2.372 0.000
Pd 0.000 2.372 4.978
Pd 2.372 0.000 1.727
```

space-group type	No. 115
density	4.42	Mg/m³
E	-2.92	eV per atom

---

[3]
Computed, not measured: a relaxed structure of Na4Al2GaPd at the PBE level of DFT.

The structure in extended XYZ format:
```
8
Lattice="4.802 0.000 0.000 0.000 4.802 0.000 0.000 0.000 6.862" Properties=species:S:1:pos:R:3 pbc="T T T"
Na 0.000 0.000 0.000
Na 0.000 2.401 5.131
Na 2.401 0.000 1.731
Na 2.401 2.401 3.431
Al 0.000 2.401 1.802
Al 2.401 0.000 5.060
Ga 2.401 2.401 0.000
Pd 0.000 0.000 3.431
```

space-group type	No. 115
density	3.38	Mg/m³
E	-2.65	eV per atom